Compound: AlCo2Mo
Source: Alexandria via LeMat-Bulk
Functional: SCAN
Structure: single point on PBEsol structure

## Properties
The density is 8.3 Mg/m³. The calculation puts the volume at 12.11 A^3/atom. The value obtained for the energy of formation from the pure elements is -0.022 eV/atom.

Geometry as CIF:
```
data_AlCo2Mo
_chemical_formula_sum 'Al2 Co4 Mo2'
_cell_length_a 3.544
_cell_length_b 3.544
_cell_length_c 7.716
_cell_angle_alpha 90.00
_cell_angle_beta 90.00
_cell_angle_gamma 90.00
_symmetry_space_group_name_H-M 'I -4 m 2'
_symmetry_Int_Tables_number 119
_symmetry_space_group_name_Hall 'I -4 -2'
loop_
_atom_site_label
_atom_site_type_symbol
_atom_site_fract_x
_atom_site_fract_y
_atom_site_fract_z
Al1 Al 0.000 0.000 0.000
Co1 Co 0.000 0.000 0.500
Co2 Co 0.000 0.500 0.250
Mo1 Mo 0.000 0.500 0.750
```


Compound: Al2CoMo
Source: Alexandria via LeMat-Bulk
Functional: SCAN
Structure: single point on PBEsol structure

## Properties
The density is 6.4 Mg/m³. The calculation puts the polymorph energy (0 for the lowest one) at 0.23 eV per formula unit. The calculation puts the volume at 13.44 A^3/atom. The value obtained for the energy of formation from the pure elements is -0.134 eV/atom.

Geometry as CIF:
```
data_Al2CoMo
_chemical_formula_sum 'Al2 Co1 Mo1'
_cell_length_a 2.690
_cell_length_b 3.955
_cell_length_c 5.149
_cell_angle_alpha 90.00
_cell_angle_beta 101.03
_cell_angle_gamma 90.00
_symmetry_space_group_name_H-M 'P 1 2/m 1'
_symmetry_Int_Tables_number 10
_symmetry_space_group_name_Hall '-P 2y'
loop_
_atom_site_label
_atom_site_type_symbol
_atom_site_fract_x
_atom_site_fract_y
_atom_site_fract_z
Al1 Al 0.171 0.000 0.263
Co1 Co 0.000 0.500 0.500
Mo1 Mo 0.500 0.500 0.000
```


Compound: Al2CoMo
Source: Alexandria via LeMat-Bulk
Functional: SCAN
Structure: single point on PBEsol structure

## Properties
The density is 6.4 Mg/m³. The calculation puts the polymorph energy (0 for the lowest one) at 0.39 eV per formula unit. The calculation puts the volume at 13.53 A^3/atom. The value obtained for the energy of formation from the pure elements is -0.095 eV/atom.

Geometry as CIF:
```
data_Al2CoMo
_chemical_formula_sum 'Al2 Co1 Mo1'
_cell_length_a 2.731
_cell_length_b 4.061
_cell_length_c 5.067
_cell_angle_alpha 90.00
_cell_angle_beta 105.58
_cell_angle_gamma 90.00
_symmetry_space_group_name_H-M 'P 1 m 1'
_symmetry_Int_Tables_number 6
_symmetry_space_group_name_Hall 'P -2y'
loop_
_atom_site_label
_atom_site_type_symbol
_atom_site_fract_x
_atom_site_fract_y
_atom_site_fract_z
Al1 Al 0.000 0.000 0.000
Al2 Al 0.380 0.500 0.762
Co1 Co 0.123 0.500 0.251
Mo1 Mo 0.735 0.000 0.473
```


Compound: AlCo6Mo
Source: Alexandria via LeMat-Bulk
Functional: SCAN
Structure: single point on PBEsol structure

## Properties
The density is 9.1 Mg/m³. The calculation puts the volume at 10.84 A^3/atom. The value obtained for the energy of formation from the pure elements is 0.027 eV/atom.

Geometry as CIF:
```
data_AlCo6Mo
_chemical_formula_sum 'Al8 Co48 Mo8'
_cell_length_a 7.009
_cell_length_b 9.947
_cell_length_c 9.949
_cell_angle_alpha 90.00
_cell_angle_beta 90.00
_cell_angle_gamma 90.00
_symmetry_space_group_name_H-M 'C m m m'
_symmetry_Int_Tables_number 65
_symmetry_space_group_name_Hall '-C 2 2'
loop_
_atom_site_label
_atom_site_type_symbol
_atom_site_fract_x
_atom_site_fract_y
_atom_site_fract_z
Al1 Al 0.000 0.000 0.249
Al2 Al 0.000 0.255 0.000
Co1 Co 0.000 0.000 0.000
Co2 Co 0.000 0.000 0.500
Co3 Co 0.000 0.251 0.250
Co4 Co 0.000 0.500 0.000
Co5 Co 0.000 0.500 0.500
Co6 Co 0.248 0.125 0.125
Co7 Co 0.250 0.125 0.375
Mo1 Mo 0.000 0.253 0.500
Mo2 Mo 0.000 0.500 0.245
```


Compound: AlCoMo2
Source: Alexandria via LeMat-Bulk
Functional: SCAN
Structure: single point on PBEsol structure

## Properties
The density is 8.5 Mg/m³. The calculation puts the volume at 13.51 A^3/atom. The value obtained for the energy of formation from the pure elements is -0.093 eV/atom.

Geometry as CIF:
```
data_AlCoMo2
_chemical_formula_sum 'Al1 Co1 Mo2'
_cell_length_a 2.679
_cell_length_b 2.679
_cell_length_c 7.532
_cell_angle_alpha 90.00
_cell_angle_beta 90.00
_cell_angle_gamma 90.00
_symmetry_space_group_name_H-M 'P 4 m m'
_symmetry_Int_Tables_number 99
_symmetry_space_group_name_Hall 'P 4 -2'
loop_
_atom_site_label
_atom_site_type_symbol
_atom_site_fract_x
_atom_site_fract_y
_atom_site_fract_z
Al1 Al 0.000 0.000 0.000
Co1 Co 0.500 0.500 0.205
Mo1 Mo 0.000 0.000 0.429
Mo2 Mo 0.500 0.500 0.729
```


Compound: AlCo2Mo
Source: Alexandria via LeMat-Bulk
Functional: SCAN
Structure: single point on PBEsol structure

## Properties
The density is 8.5 Mg/m³. The calculation puts the volume at 11.82 A^3/atom. The value obtained for the energy of formation from the pure elements is -0.234 eV/atom.

Geometry as CIF:
```
data_AlCo2Mo
_chemical_formula_sum 'Al1 Co2 Mo1'
_cell_length_a 2.685
_cell_length_b 2.685
_cell_length_c 6.558
_cell_angle_alpha 90.00
_cell_angle_beta 90.00
_cell_angle_gamma 90.00
_symmetry_space_group_name_H-M 'P 4/m m m'
_symmetry_Int_Tables_number 123
_symmetry_space_group_name_Hall '-P 4 2'
loop_
_atom_site_label
_atom_site_type_symbol
_atom_site_fract_x
_atom_site_fract_y
_atom_site_fract_z
Al1 Al 0.000 0.000 0.000
Co1 Co 0.500 0.500 0.232
Mo1 Mo 0.000 0.000 0.500
```